Record 1
Density functional theory data (GGA-PBE) for an optimized crystal structure of SrMo2W2.

Properties
Polymorph energy (0 for the lowest one): 366 meV/atom
Space-group type: P6_3/mmc

Lattice parameters (Å, degrees): 3.093 3.093 23.617 90.00 90.00 120.00
Positions (direct):
Sr 0.000 0.000 0.000
Sr 0.000 0.000 0.500
Mo 0.333 0.667 0.197
Mo 0.333 0.667 0.303
Mo 0.667 0.333 0.697
Mo 0.667 0.333 0.803
W 0.333 0.667 0.619
W 0.333 0.667 0.881
W 0.667 0.333 0.119
W 0.667 0.333 0.381

=====

Record 2
Density functional theory data (GGA-PBE) for an optimized crystal structure of Re4W11.

Properties
Polymorph energy (0 for the lowest one): 97 meV/atom
Energy of formation from the pure elements: 0.16 eV per atom
Space-group type: P4_2/mnm

Lattice parameters (Å, degrees): 9.716 9.716 5.110 90.00 90.00 90.00
Positions (direct):
Re 0.035 0.364 0.000
Re 0.136 0.535 0.500
Re 0.364 0.035 0.000
Re 0.465 0.864 0.500
Re 0.535 0.136 0.500
Re 0.636 0.965 0.000
Re 0.864 0.465 0.500
Re 0.965 0.636 0.000
W 0.000 0.000 0.500
W 0.063 0.264 0.500
W 0.103 0.103 0.000
W 0.185 0.815 0.248
W 0.185 0.815 0.752
W 0.236 0.563 0.000
W 0.264 0.063 0.500
W 0.315 0.315 0.252
W 0.315 0.315 0.748
W 0.397 0.603 0.500
W 0.437 0.764 0.000
W 0.500 0.500 0.000
W 0.563 0.236 0.000
W 0.603 0.397 0.500
W 0.685 0.685 0.252
W 0.685 0.685 0.748
W 0.736 0.937 0.500
W 0.764 0.437 0.000
W 0.815 0.185 0.248
W 0.815 0.185 0.752
W 0.897 0.897 0.000
W 0.937 0.736 0.500

=====

Record 3
Density functional theory data (GGA-PBE) for an optimized crystal structure of LaTbPd2.

Properties
Energy of formation from the pure elements: -0.87 eV per atom
Space-group type: Amm2

Lattice parameters (Å, degrees): 4.650 5.732 5.732 39.02 90.00 90.00
Positions (direct):
La 0.000 0.000 0.000
Tb 0.500 0.727 0.727
Pd 0.000 0.272 0.272
Pd 0.500 0.447 0.447

=====

Record 4
Density functional theory data (GGA-PBE) for an optimized crystal structure of YTlCoPt.

Properties
Polymorph energy (0 for the lowest one): 0 meV/atom
Space-group type: F-43m

Lattice parameters (Å, degrees): 4.736 4.736 4.736 60.00 60.00 60.00
Positions (direct):
Y 0.000 0.000 0.000
Tl 0.500 0.500 0.500
Co 0.750 0.750 0.750
Pt 0.250 0.250 0.250

=====

Record 5
Density functional theory data (GGA-PBE) for an optimized crystal structure of Er3AlAg2.

Properties
Space-group type: P4/mmm

Lattice parameters (Å, degrees): 3.555 3.555 10.934 90.00 90.00 90.00
Positions (direct):
Er 0.000 0.000 0.000
Er 0.000 0.000 0.335
Er 0.000 0.000 0.665
Al 0.500 0.500 0.500
Ag 0.500 0.500 0.171
Ag 0.500 0.500 0.829

=====

Record 6
Density functional theory data (GGA-PBE) for an optimized crystal structure of KZnB4.

Properties
Polymorph energy (0 for the lowest one): 0 meV/atom
Space-group type: P6/mmm

Lattice parameters (Å, degrees): 3.072 3.072 8.271 90.00 90.00 120.00
Positions (direct):
K 0.000 0.000 0.000
Zn 0.000 0.000 0.500
B 0.333 0.667 0.300
B 0.333 0.667 0.700
B 0.667 0.333 0.300
B 0.667 0.333 0.700

=====

Computed values of density (unit: Mg/m³) for the preceding records, in sequence: 10.98; 19.05; 8.82; 12.10; 8.95; 3.63.
Computed values of raw total energy (unit: eV/atom) for the preceding records, in sequence: -8.87; -12.66; -5.84; -5.79; -4.21; -4.46.